No. 1
## Ac4Pt2F (PBE)

Data for a relaxed structure of Ac4Pt2F.

Size of the total moment   0.000 μB per formula unit
Calculated density   10209 kg/m3
Calculated volume   214.2 Å³/cell
Raw formation energy   -1.23 eV/atom

Lattice parameters (Å, degrees): 8.590 8.590 8.590 144.34 144.34 51.32
Sites, in units of the cell vectors:
Ac 0.000 0.500 0.500
Ac 0.199 0.199 0.000
Ac 0.500 0.000 0.500
Ac 0.801 0.801 0.000
Pt 0.386 0.386 0.000
Pt 0.614 0.614 0.000
F 0.000 0.000 0.000


No. 2
## Ac2PtF (PBE)

Data for a relaxed structure of Ac2PtF.

Size of the total moment   0.000 μB per formula unit
Calculated density   10559 kg/m3
Calculated volume   105.1 Å³/cell
Raw formation energy   -1.47 eV/atom

Lattice parameters (Å, degrees): 3.715 3.715 7.615 90.00 90.00 90.00
Sites, in units of the cell vectors:
Ac 0.000 0.000 0.237
Ac 0.000 0.000 0.763
Pt 0.500 0.500 0.000
F 0.500 0.500 0.500


No. 3
## Ac2PtF8 (PBE)

Data for a relaxed structure of Ac2PtF8.

Size of the total moment   0.124 μB per formula unit
Calculated density   7025 kg/m3
Calculated volume   189.4 Å³/cell
Raw formation energy   -3.22 eV/atom

Lattice parameters (Å, degrees): 5.008 6.292 6.566 79.66 79.84 69.67
Sites, in units of the cell vectors:
Ac 0.125 0.189 0.181
Ac 0.875 0.811 0.819
Pt 0.500 0.500 0.500
F 0.185 0.558 0.068
F 0.204 0.810 0.451
F 0.266 0.312 0.473
F 0.314 0.955 0.887
F 0.686 0.045 0.113
F 0.734 0.688 0.527
F 0.796 0.190 0.549
F 0.815 0.442 0.932


No. 4
## AcPt4F (PBE)

Data for a relaxed structure of AcPt4F.

Size of the total moment   0.000 μB per formula unit
Calculated density   14977 kg/m3
Calculated volume   113.8 Å³/cell
Raw formation energy   -0.95 eV/atom

Lattice parameters (Å, degrees): 5.439 5.439 5.439 60.00 60.00 60.00
Sites, in units of the cell vectors:
Ac 0.000 0.000 0.000
Pt 0.376 0.376 0.376
Pt 0.376 0.376 0.873
Pt 0.376 0.873 0.376
Pt 0.873 0.376 0.376
F 0.750 0.750 0.750


No. 5
## AcPtF (PBE)

Data for a relaxed structure of AcPtF.

Size of the total moment   0.000 μB per formula unit
Calculated density   10729 kg/m3
Calculated volume   136.5 Å³/cell
Raw formation energy   -2.37 eV/atom

Lattice parameters (Å, degrees): 8.398 8.398 8.398 30.65 30.65 30.65
Sites, in units of the cell vectors:
Ac 0.088 0.088 0.088
Ac 0.912 0.912 0.912
Pt 0.353 0.353 0.353
Pt 0.647 0.647 0.647
F 0.196 0.196 0.196
F 0.804 0.804 0.804


No. 6
## Ac6Pt5F (PBE)

Data for a relaxed structure of Ac6Pt5F.

Size of the total moment   0.000 μB per formula unit
Calculated density   11025 kg/m3
Calculated volume   354.9 Å³/cell
Raw formation energy   -1.43 eV/atom

Lattice parameters (Å, degrees): 7.570 7.570 7.573 99.45 99.45 120.03
Sites, in units of the cell vectors:
Ac 0.076 0.415 0.245
Ac 0.246 0.246 0.749
Ac 0.415 0.076 0.245
Ac 0.585 0.924 0.755
Ac 0.754 0.754 0.251
Ac 0.924 0.585 0.755
Pt 0.000 0.000 0.000
Pt 0.167 0.833 0.500
Pt 0.336 0.664 0.000
Pt 0.664 0.336 0.000
Pt 0.833 0.167 0.500
F 0.500 0.500 0.500


No. 7
## Ac2PtF (PBE)

Data for a relaxed structure of Ac2PtF.

Size of the total moment   0.000 μB per formula unit
Calculated density   10103 kg/m3
Calculated volume   109.8 Å³/cell
Raw formation energy   -1.85 eV/atom

Lattice parameters (Å, degrees): 7.018 7.018 7.018 36.56 36.56 36.56
Sites, in units of the cell vectors:
Ac 0.248 0.248 0.248
Ac 0.752 0.752 0.752
Pt 0.000 0.000 0.000
F 0.500 0.500 0.500


No. 8
## AcPuF2 (PBE)

Data for a relaxed structure of AcPuF2.

Size of the total moment   6.248 μB per formula unit
Calculated density   8589 kg/m3
Calculated volume   98.4 Å³/cell
Raw formation energy   -2.36 eV/atom

Lattice parameters (Å, degrees): 6.989 6.989 6.989 34.63 34.63 34.63
Sites, in units of the cell vectors:
Ac 0.000 0.000 0.000
Pu 0.500 0.500 0.500
F 0.132 0.132 0.132
F 0.868 0.868 0.868


No. 9
## AcPu2F8 (PBE)

Data for a relaxed structure of AcPu2F8.

Size of the total moment   11.000 μB per formula unit
Calculated density   9206 kg/m3
Calculated volume   156.4 Å³/cell
Raw formation energy   -3.68 eV/atom

Lattice parameters (Å, degrees): 7.103 7.103 7.103 147.37 125.02 65.42
Sites, in units of the cell vectors:
Ac 0.000 0.000 0.000
Pu 0.323 0.323 0.000
Pu 0.677 0.677 0.000
F 0.115 0.839 0.276
F 0.142 0.642 0.500
F 0.304 0.500 0.804
F 0.438 0.161 0.276
F 0.562 0.839 0.724
F 0.696 0.500 0.196
F 0.858 0.358 0.500
F 0.885 0.161 0.724


No. 10
## Ac3PuF (PBE)

Data for a relaxed structure of Ac3PuF.

Size of the total moment   6.478 μB per formula unit
Calculated density   9436 kg/m3
Calculated volume   166.1 Å³/cell
Raw formation energy   -0.82 eV/atom

Lattice parameters (Å, degrees): 5.497 5.497 5.497 90.00 90.00 90.00
Sites, in units of the cell vectors:
Ac 0.000 0.000 0.500
Ac 0.000 0.500 0.000
Ac 0.500 0.000 0.000
Pu 0.500 0.500 0.500
F 0.000 0.000 0.000


No. 11
## AcPu2F11 (PBE)

Data for a relaxed structure of AcPu2F11.

Size of the total moment   8.000 μB per formula unit
Calculated density   5792 kg/m3
Calculated volume   529.8 Å³/cell
Raw formation energy   -3.67 eV/atom

Lattice parameters (Å, degrees): 8.985 8.985 8.985 123.37 108.30 97.81
Sites, in units of the cell vectors:
Ac 0.250 0.250 0.000
Ac 0.750 0.750 0.000
Pu 0.179 0.649 0.828
Pu 0.321 0.149 0.470
Pu 0.679 0.851 0.530
Pu 0.821 0.351 0.172
F 0.000 0.500 0.500
F 0.053 0.951 0.276
F 0.061 0.360 0.162
F 0.175 0.451 0.898
F 0.198 0.900 0.838
F 0.216 0.364 0.580
F 0.284 0.864 0.147
F 0.302 0.140 0.701
F 0.325 0.223 0.276
F 0.439 0.600 0.299
F 0.447 0.723 0.898
F 0.500 0.000 0.500
F 0.553 0.277 0.102
F 0.561 0.400 0.701
F 0.675 0.777 0.724
F 0.698 0.860 0.299
F 0.716 0.136 0.853
F 0.784 0.636 0.420
F 0.802 0.100 0.162
F 0.825 0.549 0.102
F 0.939 0.640 0.838
F 0.947 0.049 0.724


No. 12
## Ac2PuF11 (PBE)

Data for a relaxed structure of Ac2PuF11.

Size of the total moment   3.000 μB per formula unit
Calculated density   5372 kg/m3
Calculated volume   560.7 Å³/cell
Raw formation energy   -3.65 eV/atom

Lattice parameters (Å, degrees): 9.100 9.100 9.100 121.42 105.16 102.54
Sites, in units of the cell vectors:
Ac 0.183 0.144 0.327
Ac 0.317 0.644 0.962
Ac 0.683 0.356 0.038
Ac 0.817 0.856 0.673
Pu 0.250 0.750 0.500
Pu 0.750 0.250 0.500
F 0.000 0.000 0.000
F 0.005 0.434 0.748
F 0.081 0.832 0.627
F 0.187 0.934 0.430
F 0.204 0.453 0.373
F 0.220 0.879 0.100
F 0.280 0.379 0.659
F 0.296 0.668 0.249
F 0.313 0.743 0.748
F 0.419 0.047 0.751
F 0.495 0.243 0.430
F 0.500 0.500 0.000
F 0.505 0.757 0.570
F 0.581 0.953 0.249
F 0.687 0.257 0.252
F 0.704 0.332 0.751
F 0.720 0.621 0.341
F 0.780 0.121 0.900
F 0.796 0.547 0.627
F 0.813 0.066 0.570
F 0.919 0.168 0.373
F 0.995 0.566 0.252


> The lowest calculated volume belongs to which entry?

AcPuF2


Repeat the sixth record exactly.
## Ac6Pt5F (PBE)

Data for a relaxed structure of Ac6Pt5F.

Size of the total moment   0.000 μB per formula unit
Calculated density   11025 kg/m3
Calculated volume   354.9 Å³/cell
Raw formation energy   -1.43 eV/atom

Lattice parameters (Å, degrees): 7.570 7.570 7.573 99.45 99.45 120.03
Sites, in units of the cell vectors:
Ac 0.076 0.415 0.245
Ac 0.246 0.246 0.749
Ac 0.415 0.076 0.245
Ac 0.585 0.924 0.755
Ac 0.754 0.754 0.251
Ac 0.924 0.585 0.755
Pt 0.000 0.000 0.000
Pt 0.167 0.833 0.500
Pt 0.336 0.664 0.000
Pt 0.664 0.336 0.000
Pt 0.833 0.167 0.500
F 0.500 0.500 0.500